PrCuPBr | GGA-PBE | relaxed

Computed properties:
formation energy (no corrections)	-4.719	eV/f.u.
total moment	0.0	μB/f.u.
V	25.23	Å³ per atom

```
PrCuPBr
1.0
-3.7495 1.3001 1.0264
-2.4975 -2.4380 2.1496
2.9680 4.8612 12.8698
Br Cu Pr P
2 2 2 2
Direct
0.2120 0.2120 0.3639
0.7880 0.7880 0.6361
0.3115 0.3115 0.0654
0.6885 0.6885 0.9346
0.0747 0.0747 0.7759
0.9253 0.9253 0.2241
0.3693 0.3693 0.8920
0.6307 0.6307 0.1080
```